{"formula": "BaMnSbTe2", "functional": "PBE-GGA", "state": "optimized geometry", "lattice": [[-5.636, -1.974, 2.370], [3.049, -4.315, 3.656], [0.470, 4.348, 4.738]], "species": ["Sb", "Te", "Te", "Ba", "Mn"], "frac_coords": [[0.000, 0.000, 0.500], [0.000, 0.500, 0.000], [0.500, 0.000, 0.000], [0.000, 0.000, 0.000], [0.500, 0.500, 0.500]], "dft_energy_ev_per_atom": -3.429, "magnetic_moment_mub_per_cell": 4.60, "e_form_raw_ev_per_atom": 0.871, "e_above_lowest_polymorph_mev_per_atom": 1393}